# LaAl2Ag3

LaAl2Ag3 after structural relaxation (PBE, Alexandria).

Cell lengths 5.539, 6.810, 6.810 Å; angles 100.34, 90.00, 90.00 degrees
Positions (direct):
1 Ag 0.750 0.464 0.101
2 La 0.750 0.679 0.679
3 Ag 0.750 0.101 0.464
4 Ag 0.750 0.051 0.051
5 Al 0.000 0.215 0.785
6 Al 0.500 0.215 0.785
7 Ag 0.250 0.899 0.536
8 La 0.250 0.321 0.321
9 Ag 0.250 0.536 0.899
10 Al 0.500 0.785 0.215
11 Ag 0.250 0.949 0.949
12 Al 0.000 0.785 0.215

Properties
Energy of formation from the pure elements = -1.7 eV/f.u.
Density of states at the Fermi level = 7.49 states/eV/cell

=====

# CuTeBr

CuTeBr after structural relaxation (PBE, Alexandria).

Cell lengths 6.949, 3.613, 6.266 Å; angles 90.00, 107.61, 90.00 degrees
Positions (direct):
1 Te 0.498 0.500 0.642
2 Br 0.983 0.500 0.133
3 Cu 0.757 0.000 0.893
4 Br 0.983 0.000 0.633
5 Te 0.498 0.000 0.142
6 Cu 0.757 0.500 0.393

Properties
E_form (uncorrected) = -0.213 eV per formula unit
Density of states at the Fermi level = 5.65 states/eV/cell

=====

# Mn4AuBr

Mn4AuBr after structural relaxation (PBE, Alexandria).

Cell lengths 5.120, 5.120, 5.120 Å; angles 60.00, 60.00, 60.00 degrees
Last column: magnetic moment on the atom in μB.
Positions (direct):
1 Mn 0.376 0.873 0.376  2.84
2 Mn 0.873 0.376 0.376  2.84
3 Mn 0.376 0.376 0.873  2.84
4 Br 0.000 0.000 0.000  0.06
5 Mn 0.376 0.376 0.376  2.84
6 Au 0.750 0.750 0.750  0.03

Properties
E_form (uncorrected) = 4.506 eV per formula unit
Density of states at the Fermi level = 7.42 states/eV/cell

=====

# PbIO

PbIO after structural relaxation (PBE, Alexandria).

Cell lengths 3.399, 8.881, 12.853 Å; angles 90.00, 90.00, 90.00 degrees
Positions (direct):
1 O 0.750 0.623 0.532
2 I 0.750 0.994 0.329
3 O 0.750 0.123 0.968
4 Pb 0.250 0.627 0.420
5 Pb 0.750 0.373 0.580
6 O 0.250 0.877 0.032
7 O 0.250 0.377 0.468
8 Pb 0.750 0.873 0.920
9 Pb 0.250 0.127 0.080
10 I 0.250 0.506 0.829
11 I 0.750 0.494 0.171
12 I 0.250 0.006 0.671

Properties
E_form (uncorrected) = -1.653 eV per formula unit
Density of states at the Fermi level = 8.03 states/eV/cell

=====

Energy values, unit eV per cell, following the record order: -45.33; -18.25; -37.12; -47.48.